Below is a relaxed structure of Pm4SiSe2, with properties calculated at the PBE-GGA level.

The structure belongs to space group Cmcm (No. 63); the cell edges are 4.129, 13.553 and 13.951 Å and the angles 90.00°, 90.00° and 90.00°. The distinct sites, in fractional coordinates, are Pm at (0.000, 0.000, 0.000), Pm at (0.000, 0.283, 0.128), Pm at (0.000, 0.451, 0.750), Si at (0.000, 0.104, 0.750) and Se at (0.000, 0.360, 0.564).

The calculation puts the calculated total energy at -5.73 eV per atom. For the formation energy without anion corrections, the calculation gives -8.73 eV per formula unit. The density of states at the Fermi level is 20.634 states/eV/cell.